Below is a relaxed SrTcRh crystal, with properties calculated at the PBE level.

Summary:
- space-group type = P4/nmm (129)
- DOS(E_F) (states/eV/cell) = 6.94
- density (g cm⁻³) = 6.89
- magnetization (μB per formula unit) = 0.0
- excess energy over the best structure of this formula in the dataset (eV per atom) = 0.117
- energy relative to the elements (eV per atom) = 0.2077

Unit cell a=3.9583 b=3.9583 c=8.8702 alpha=90.00 beta=90.00 gamma=90.00
Sites, in units of the cell vectors:
Sr 0.0000 0.5000 0.3308
Sr 0.5000 0.0000 0.6692
Rh 0.0000 0.5000 0.8085
Rh 0.5000 0.0000 0.1915
Tc 0.0000 0.0000 0.0000
Tc 0.5000 0.5000 0.0000